# CaSm2PbO6, relaxed, DFT PBE
# calculated volume	465	Å³/cell
# raw formation energy	-2.572	eV per atom
# N(E_F)	0.000	states/eV/atom
# total energy	-7.062	eV/atom
data_CaSm2PbO6
_cell_length_a 5.9064
_cell_length_b 5.9064
_cell_length_c 15.3917
_cell_angle_alpha 90.00
_cell_angle_beta 90.00
_cell_angle_gamma 120.00
_space_group_name_H-M_alt 'R 3'
_space_group_IT_number 146
_space_group_name_Hall 'R 3'
loop_
_atom_site_label
_atom_site_fract_x
_atom_site_fract_y
_atom_site_fract_z
_atom_site_occupancy
Ca1 0.0000 0.0000 0.0000 1
Sm1 0.0000 0.0000 0.2790 1
Sm2 0.0000 0.0000 0.7789 1
Pb1 0.0000 0.0000 0.4930 1
O1 0.0449 0.3538 0.5569 1
O2 0.0513 0.6702 0.0596 1

---

# Ni2BH, relaxed, DFT PBE
# distance to the lowest polymorph of the same formula	0.480	eV/f.u.
# calculated volume	120	Å³/cell
# N(E_F)	0.635	states/eV/atom
# total energy	-5.224	eV/atom
data_Ni2BH
_cell_length_a 4.937
_cell_length_b 4.937
_cell_length_c 4.937
_cell_angle_alpha 90.00
_cell_angle_beta 90.00
_cell_angle_gamma 90.00
_space_group_name_H-M_alt 'F m -3 m'
_space_group_IT_number 225
_space_group_name_Hall '-F 4 2 3'
loop_
_atom_site_label
_atom_site_fract_x
_atom_site_fract_y
_atom_site_fract_z
_atom_site_occupancy
Ni1 0.250 0.250 0.250 1
B1 0.000 0.000 0.000 1
H1 0.000 0.000 0.500 1